No. 1
Computed, not measured: a geometry-optimized SrErIr2O8 structure at the PBE-GGA level of DFT.

## Properties
E_tot = -6.66 eV/atom
Calculated volume = 217.7 Å³/cell

Lattice parameters (Å, degrees): 5.9085 5.9085 7.2004 90.00 90.00 120.00
Closest atoms and distances in Å follow each position.
Space group P-3m1 (No. 164)
Asymmetric unit:
Sr1 0.0000 0.0000 0.0000 (multiplicity 1)  6 O 2.65
Er1 0.0000 0.0000 0.5000 (multiplicity 1)  6 O 2.22
Ir1 0.3333 0.6667 0.7828 (multiplicity 2)  4 O 1.82-1.86
O1 0.1591 0.3181 0.7093 (multiplicity 6)  1 Ir 1.86
O2 0.3333 0.6667 0.0355 (multiplicity 2)  1 Ir 1.82

***

No. 2
Computed, not measured: a geometry-optimized LiP2Pb structure at the PBE-GGA level of DFT.

## Properties
E_tot = -4.23 eV/atom
Formation energy = -0.121 eV per atom
Calculated volume = 165.7 Å³/cell

Lattice parameters (Å, degrees): 8.7278 3.2939 5.8022 90.00 96.71 90.00
Closest atoms and distances in Å follow each position.
Space group C2/m (No. 12)
Asymmetric unit:
Li1 0.0000 0.0000 0.0000 (multiplicity 2)  6 P 2.45-2.74
P1 0.2447 0.5000 0.1346 (multiplicity 4)  2 P 2.28, 1 Li 2.45
Pb1 0.0000 0.5000 0.5000 (multiplicity 2)  6 P 3.18-3.33, 2 Pb 3.29, 4 Li 3.34

***

No. 3
Computed, not measured: a geometry-optimized Dy4TeRu structure at the PBE-GGA level of DFT.

## Properties
E_tot = -5.52 eV/atom
Energy above the most stable polymorph in this dataset = 26.6 kJ per mole of atoms
Calculated volume = 846.3 Å³/cell

Lattice parameters (Å, degrees): 17.9538 5.3107 9.4819 90.00 110.60 90.00
Closest atoms and distances in Å follow each position.
Space group C2/m (No. 12)
Asymmetric unit:
Dy1 0.0181 0.0000 0.2407 (multiplicity 4)  2 Ru 2.63-2.80
Dy2 0.1010 0.5000 0.0365 (multiplicity 4)  2 Ru 2.66
Dy3 0.1987 0.0000 0.9032 (multiplicity 4)  1 Ru 2.69
Dy4 0.2378 0.0000 0.3052 (multiplicity 4)  1 Ru 2.83, 1 Te 3.15
Te1 0.1600 0.0000 0.5552 (multiplicity 4)  5 Dy 3.12-3.23
Ru1 0.0953 0.0000 0.0506 (multiplicity 4)  6 Dy 2.63-2.83

***

No. 4
Computed, not measured: a geometry-optimized SiIrRh2 structure at the PBE-GGA level of DFT.

## Properties
E_tot = -7.30 eV/atom
Calculated volume = 114.6 Å³/cell

Lattice parameters (Å, degrees): 2.8119 4.7819 8.5251 90.00 90.00 90.00
Closest atoms and distances in Å follow each position.
Space group Cmm2 (No. 35)
Asymmetric unit:
Si1 0.0000 0.0000 0.0000 (multiplicity 2)  2 Rh 2.33, 2 Ir 2.38
Ir1 0.0000 0.5000 0.2254 (multiplicity 2)  2 Si 2.38
Rh1 0.0000 0.0000 0.5035 (multiplicity 2)  2 Ir 2.76, 8 Rh 2.76-2.81
Rh2 0.0000 0.5000 0.7817 (multiplicity 2)  2 Si 2.33

***

No. 5
Computed, not measured: a geometry-optimized AsRu3Rh structure at the PBE-GGA level of DFT.

## Properties
E_tot = -6.13 eV/atom
Formation energy = 1.837 eV per atom
Energy above the most stable polymorph in this dataset = 62.0 kJ per mole of atoms
Calculated volume = 100.4 Å³/cell

Lattice parameters (Å, degrees): 4.6474 4.6474 4.6474 90.00 90.00 90.00
Closest atoms and distances in Å follow each position.
Space group Pm-3m (No. 221)
Asymmetric unit:
As1 0.0000 0.0000 0.0000 (multiplicity 1)  12 Ru 3.29
Ru1 0.0000 0.5000 0.5000 (multiplicity 3)  2 Rh 2.32
Rh1 0.5000 0.5000 0.5000 (multiplicity 1)  6 Ru 2.32

***

No. 6
Computed, not measured: a geometry-optimized Ca2AlCdH structure at the PBE-GGA level of DFT.

## Properties
E_tot = -2.63 eV/atom
Energy above the most stable polymorph in this dataset = 1.9 kJ per mole of atoms
Calculated volume = 105.5 Å³/cell

Lattice parameters (Å, degrees): 4.8642 4.8642 4.4592 90.00 90.00 90.00
Closest atoms and distances in Å follow each position.
Space group P4/mmm (No. 123)
Asymmetric unit:
Ca1 0.0000 0.5000 0.0000 (multiplicity 2)  2 H 2.43
Al1 0.0000 0.0000 0.5000 (multiplicity 1)  8 Ca 3.30, 4 Cd 3.44
Cd1 0.5000 0.5000 0.5000 (multiplicity 1)  2 H 2.23
H1 0.5000 0.5000 0.0000 (multiplicity 1)  2 Cd 2.23, 4 Ca 2.43

***

No. 7
Computed, not measured: a geometry-optimized RbNbAg2 structure at the PBE-GGA level of DFT.

## Properties
E_tot = -3.11 eV/atom
Formation energy = 1.071 eV per atom
Energy above the most stable polymorph in this dataset = 1.2 kJ per mole of atoms
Calculated volume = 481.9 Å³/cell

Lattice parameters (Å, degrees): 8.3256 8.3256 6.9525 90.00 90.00 90.00
Closest atoms and distances in Å follow each position.
Space group I-42d (No. 122)
Asymmetric unit:
Rb1 0.0000 0.0000 0.0000 (multiplicity 4)  8 Ag 3.40-3.71, 2 Nb 3.48
Nb1 0.0000 0.0000 0.5000 (multiplicity 4)  4 Ag 2.78
Ag1 0.1952 0.2500 0.6250 (multiplicity 8)  2 Nb 2.78

***

No. 8
Computed, not measured: a geometry-optimized Cs2TaBi structure at the PBE-GGA level of DFT.

## Properties
E_tot = -3.50 eV/atom
Formation energy = 0.861 eV per atom
Energy above the most stable polymorph in this dataset = 0.0 kJ per mole of atoms
Calculated volume = 1132.5 Å³/cell

Lattice parameters (Å, degrees): 14.3017 14.3017 5.5370 90.00 90.00 90.00
Closest atoms and distances in Å follow each position.
Space group I-42d (No. 122)
Asymmetric unit:
Cs1 0.0819 0.2500 0.1250 (multiplicity 8)  2 Bi 3.83
Ta1 0.0000 0.0000 0.5000 (multiplicity 4)  2 Bi 2.77
Bi1 0.0000 0.0000 0.0000 (multiplicity 4)  2 Ta 2.77